# 1
Compound: KPRh2
Source: Alexandria via LeMat-Bulk
Functional: PBE
Structure: optimized geometry

Cell: 7.0018 7.0018 7.0018 Å, 32.17 32.17 32.17°
Fractional coordinates of all 4 atoms:
K (0.0000, 0.0000, 0.0000)
P (0.5000, 0.5000, 0.5000)
Rh (0.2035, 0.2035, 0.2035)
Rh (0.7965, 0.7965, 0.7965)

Properties
Energy relative to the elements = -334 meV/atom

***

# 2
Compound: BeAlSi2
Source: Alexandria via LeMat-Bulk
Functional: PBE
Structure: optimized geometry

Cell: 5.3253 5.3253 5.3253 Å, 150.72 131.79 57.41°
Fractional coordinates of all 4 atoms:
Be (0.0000, 0.0000, 0.0000)
Al (0.5000, 0.5000, 0.0000)
Si (0.2105, 0.7105, 0.5000)
Si (0.7895, 0.2895, 0.5000)

Properties
ΔE to the lowest computed polymorph = 26 meV per atom
Raw formation energy = 0.340 eV/atom

***

# 3
Compound: Pm2DyIn3
Source: Alexandria via LeMat-Bulk
Functional: PBE
Structure: optimized geometry

Cell: 5.3983 5.3983 13.2530 Å, 90.00 90.00 120.00°
Fractional coordinates of all 12 atoms:
Pm (0.0000, 0.0000, 0.0000)
Pm (0.0000, 0.0000, 0.5000)
Pm (0.3333, 0.6667, 0.1691)
Pm (0.6667, 0.3333, 0.8309)
Dy (0.3333, 0.6667, 0.6668)
Dy (0.6667, 0.3333, 0.3332)
In (0.0000, 0.0000, 0.2524)
In (0.0000, 0.0000, 0.7476)
In (0.3333, 0.6667, 0.4180)
In (0.3333, 0.6667, 0.9153)
In (0.6667, 0.3333, 0.0847)
In (0.6667, 0.3333, 0.5820)

Properties
ΔE to the lowest computed polymorph = 5 meV per atom
Energy relative to the elements = -483 meV/atom

***

# 4
Compound: AcYTe2
Source: Alexandria via LeMat-Bulk
Functional: PBE
Structure: optimized geometry

Cell: 4.6395 10.1945 7.2136 Å, 90.00 90.00 90.00°
Fractional coordinates of all 8 atoms:
Ac (0.0000, 0.0884, 0.0000)
Ac (0.5000, 0.9116, 0.5000)
Y (0.0000, 0.6603, 0.8493)
Y (0.5000, 0.3397, 0.3493)
Te (0.0000, 0.4149, 0.1072)
Te (0.0000, 0.8074, 0.2056)
Te (0.5000, 0.1926, 0.7056)
Te (0.5000, 0.5851, 0.6072)

Properties
ΔE to the lowest computed polymorph = 391 meV per atom
Raw formation energy = -1.011 eV/atom

***

# 5
Compound: Pr3PuOs8
Source: Alexandria via LeMat-Bulk
Functional: PBE
Structure: optimized geometry

Cell: 9.4340 9.4340 9.4340 Å, 33.44 33.44 33.44°
Fractional coordinates of all 12 atoms:
Pr (0.0000, 0.0000, 0.0000)
Pr (0.1254, 0.1254, 0.1254)
Pr (0.4998, 0.4998, 0.4998)
Pu (0.6244, 0.6244, 0.6244)
Os (0.0574, 0.5621, 0.5621)
Os (0.0618, 0.0618, 0.5676)
Os (0.0618, 0.5676, 0.0618)
Os (0.3111, 0.3111, 0.3111)
Os (0.5621, 0.0574, 0.5621)
Os (0.5621, 0.5621, 0.0574)
Os (0.5676, 0.0618, 0.0618)
Os (0.8117, 0.8117, 0.8117)

Properties
Energy relative to the elements = -38 meV/atom

***

# 6
Compound: Ce4PuSi
Source: Alexandria via LeMat-Bulk
Functional: PBE
Structure: optimized geometry

Cell: 6.8750 6.8750 6.3725 Å, 90.00 90.00 90.00°
Fractional coordinates of all 12 atoms:
Ce (0.2356, 0.2429, 0.3124)
Ce (0.2356, 0.7571, 0.1876)
Ce (0.2429, 0.2356, 0.8124)
Ce (0.2429, 0.7644, 0.6876)
Ce (0.7571, 0.2356, 0.6876)
Ce (0.7571, 0.7644, 0.8124)
Ce (0.7644, 0.2429, 0.1876)
Ce (0.7644, 0.7571, 0.3124)
Pu (0.0000, 0.5000, 0.7500)
Pu (0.5000, 0.0000, 0.2500)
Si (0.5000, 0.5000, 0.0000)
Si (0.5000, 0.5000, 0.5000)

Properties
ΔE to the lowest computed polymorph = 309 meV per atom
Raw formation energy = 0.132 eV/atom